Record 1
A relaxed structure of Sr2Cd3Ge, computed with PBE.

```
Sr2Cd3Ge
1.0
4.2489 0.0000 0.0000
0.0000 4.7910 0.0000
0.0000 0.0000 8.5773
Sr Cd Ge
2 3 1
direct
0.0000 0.0000 0.0000 Sr
0.0000 0.5000 0.4674 Sr
0.5000 0.0000 0.6405 Cd
0.5000 0.5000 0.1522 Cd
0.5000 0.5000 0.8174 Cd
0.5000 0.0000 0.3193 Ge
```


Record 2
A relaxed structure of SrCdGe, computed with PBE.

```
SrCdGe
1.0
-2.4812 4.0461 3.9708
2.4812 -4.0461 3.9708
2.4812 4.0461 -3.9708
Sr Cd Ge
2 2 2
direct
0.2064 0.2500 0.4564 Sr
0.7936 0.7500 0.5436 Sr
0.5998 0.9417 0.1580 Cd
0.7837 0.4417 0.8420 Cd
0.2297 0.5569 0.1728 Ge
0.3841 0.0569 0.8272 Ge
```


Record 3
A relaxed structure of Sr5CdGe2, computed with PBE.

```
Sr5CdGe2
1.0
-4.1554 4.1554 8.2751
4.1554 -4.1554 8.2751
4.1554 4.1554 -8.2751
Sr Cd Ge
10 2 4
direct
0.0000 0.0000 0.0000 Sr
0.0375 0.5375 0.8465 Sr
0.1910 0.0375 0.5000 Sr
0.3090 0.8090 0.8465 Sr
0.4625 0.3090 0.5000 Sr
0.5000 0.5000 0.0000 Sr
0.5375 0.6910 0.5000 Sr
0.6910 0.1910 0.1535 Sr
0.8090 0.9625 0.5000 Sr
0.9625 0.4625 0.1535 Sr
0.2500 0.2500 0.0000 Cd
0.7500 0.7500 0.0000 Cd
0.1133 0.3867 0.5000 Ge
0.3867 0.8867 0.2734 Ge
0.6133 0.1133 0.7266 Ge
0.8867 0.6133 0.5000 Ge
```


Table of calculated formation energy (eV/atom), in record order: -0.371; -0.367; -0.456
Table of VASP energy (Ha/atom), in record order: -0.0793; -0.1019; -0.1020